{
  "formula": "Ba2NaCoO4",
  "functional": "PBE with a Hubbard U",
  "state": "optimized geometry",
  "space_group": "I-4 (82)",
  "mass_density_g_cm3": 5.202,
  "magnetic_moment_mub_per_cell": 2.000,
  "energy_ev_per_cell": -44.31,
  "cell": [[-2.843, -0.951, -4.745], [-2.254, -2.489, 4.498], [0.002, 5.389, 1.568]],
  "species": ["Ba", "Ba", "Na", "Co", "O", "O", "O", "O"],
  "fractional_positions": [[0.500, 0.750, 0.250], [0.000, 0.000, 0.000], [0.500, 0.250, 0.750], [0.000, 0.500, 0.500], [0.591, 0.349, 0.393], [0.043, 0.241, 0.651], [0.957, 0.607, 0.198], [0.409, 0.802, 0.759]]
}